Model a:
NaCdTeIr: relaxed, GGA-PBE.

Calculated values
- SG = No. 216

Structure (POSCAR):
```
NaCdTeIr
1.0
0.000 3.390 3.390
3.390 0.000 3.390
3.390 3.390 0.000
Na Te Cd Ir
1 1 1 1
Direct
0.750 0.750 0.750
0.500 0.500 0.500
0.000 0.000 0.000
0.250 0.250 0.250
```


Model b:
NaCdTeIr: relaxed, GGA-PBE.

Calculated values
- SG = No. 216

Structure (POSCAR):
```
NaCdTeIr
1.0
-0.133 -1.177 4.700
-3.418 -3.015 1.647
1.196 -4.480 1.412
Te Cd Ir Na
1 1 1 1
Direct
0.250 0.250 0.250
0.500 0.500 0.500
0.000 0.000 0.000
0.750 0.750 0.750
```


Model c:
NaCdTeIr: relaxed, GGA-PBE.

Calculated values
- SG = No. 216

Structure (POSCAR):
```
NaCdTeIr
1.0
0.000 3.462 3.462
3.462 0.000 3.462
3.462 3.462 0.000
Na Te Cd Ir
1 1 1 1
Direct
0.750 0.750 0.750
0.500 0.500 0.500
0.250 0.250 0.250
0.000 0.000 0.000
```


Relative energies, in kJ/mol of atoms, with the most stable structure set to zero: model a 0.0; model b 25.3; model c 31.8.


Model a:
Cd2Ir2O5: relaxed, GGA-PBE.

Calculated values
- SG = No. 123

Structure (POSCAR):
```
Cd2Ir2O5
1.0
9.731 0.000 0.000
0.000 3.398 0.000
0.000 0.000 3.398
Ir O Cd
2 5 2
Direct
0.500 0.000 0.000
0.000 0.000 0.000
0.881 0.500 0.000
0.119 0.000 0.500
0.881 0.000 0.500
0.119 0.500 0.000
0.500 0.500 0.500
0.727 0.500 0.500
0.273 0.500 0.500
```


Model b:
Cd2Ir2O5: relaxed, GGA-PBE.

Calculated values
- SG = No. 123

Structure (POSCAR):
```
Cd2Ir2O5
1.0
-2.244 6.303 -1.728
-1.869 -1.520 -3.117
-3.223 -0.545 2.198
Cd O Ir
2 5 2
Direct
0.000 0.000 0.000
0.500 0.000 0.000
0.222 0.500 0.000
0.222 0.000 0.500
0.778 0.500 0.000
0.778 0.000 0.500
0.500 0.500 0.500
0.812 0.500 0.500
0.188 0.500 0.500
```


Relative energies, in kJ/mol of atoms, with the most stable structure set to zero: model a 23.4; model b 0.0.


Model a:
PaCdIr: relaxed, GGA-PBE.

Calculated values
- SG = No. 216

Structure (POSCAR):
```
PaCdIr
1.0
1.797 0.841 4.224
3.704 -2.419 1.484
4.150 2.096 0.395
Cd Pa Ir
1 1 1
Direct
0.750 0.750 0.750
0.250 0.250 0.250
0.000 0.000 0.000
```


Model b:
PaCdIr: relaxed, GGA-PBE.

Calculated values
- SG = No. 216

Structure (POSCAR):
```
PaCdIr
1.0
0.000 3.356 3.356
3.356 0.000 3.356
3.356 3.356 0.000
Pa Cd Ir
1 1 1
Direct
0.000 0.000 0.000
0.250 0.250 0.250
0.750 0.750 0.750
```


Relative energies, in kJ/mol of atoms, with the most stable structure set to zero: model a 0.0; model b 61.0.


Model a:
Pm2CdIr2: relaxed, GGA-PBE.

Calculated values
- SG = No. 194

Structure (POSCAR):
```
Pm2CdIr2
1.0
4.767 0.000 0.000
-2.383 4.128 0.000
0.000 0.000 12.654
Pm Ir Cd
4 4 2
Direct
0.667 0.333 0.915
0.667 0.333 0.585
0.333 0.667 0.415
0.333 0.667 0.085
0.667 0.333 0.353
0.667 0.333 0.147
0.333 0.667 0.853
0.333 0.667 0.647
0.000 0.000 0.750
0.000 0.000 0.250
```


Model b:
Pm2CdIr2: relaxed, GGA-PBE.

Calculated values
- SG = No. 15

Structure (POSCAR):
```
Pm2CdIr2
1.0
5.138 -2.782 0.000
5.138 2.782 0.000
-2.623 0.000 7.997
Cd Ir Pm
2 4 4
Direct
0.845 0.155 0.250
0.155 0.845 0.750
0.015 0.699 0.982
0.301 0.985 0.518
0.985 0.301 0.018
0.699 0.015 0.482
0.485 0.805 0.147
0.195 0.515 0.353
0.805 0.485 0.647
0.515 0.195 0.853
```


Relative energies, in kJ/mol of atoms, with the most stable structure set to zero: model a 23.7; model b 0.0.


Model a:
RbCdIr: relaxed, GGA-PBE.

Calculated values
- SG = No. 216

Structure (POSCAR):
```
RbCdIr
1.0
0.000 3.796 3.796
3.796 0.000 3.796
3.796 3.796 0.000
Rb Ir Cd
1 1 1
Direct
0.000 0.000 0.000
0.750 0.750 0.750
0.250 0.250 0.250
```


Model b:
RbCdIr: relaxed, GGA-PBE.

Calculated values
- SG = No. 216

Structure (POSCAR):
```
RbCdIr
1.0
-0.216 -1.652 4.607
-4.053 -2.226 1.617
0.036 -4.819 0.879
Ir Cd Rb
1 1 1
Direct
0.000 0.000 0.000
0.250 0.250 0.250
0.750 0.750 0.750
```


Relative energies, in kJ/mol of atoms, with the most stable structure set to zero: model a 76.2; model b 0.0.


Model a:
CdIrW: relaxed, GGA-PBE.

Calculated values
- SG = No. 216

Structure (POSCAR):
```
CdIrW
1.0
-0.940 -2.016 3.727
-3.792 0.748 1.976
-3.048 -3.089 0.088
W Ir Cd
1 1 1
Direct
0.750 0.750 0.750
0.000 0.000 0.000
0.250 0.250 0.250
```


Model b:
CdIrW: relaxed, GGA-PBE.

Calculated values
- SG = No. 216

Structure (POSCAR):
```
CdIrW
1.0
0.000 3.081 3.081
3.081 0.000 3.081
3.081 3.081 0.000
W Cd Ir
1 1 1
Direct
0.000 0.000 0.000
0.250 0.250 0.250
0.750 0.750 0.750
```


Relative energies, in kJ/mol of atoms, with the most stable structure set to zero: model a 0.0; model b 31.8.


Model a:
K2Cd: relaxed, GGA-PBE.

Calculated values
- SG = No. 227

Structure (POSCAR):
```
K2Cd
1.0
6.960 -1.953 1.047
4.434 4.257 3.946
2.227 -2.177 6.607
K Cd
4 2
Direct
0.625 0.625 0.125
0.125 0.625 0.625
0.625 0.125 0.625
0.625 0.625 0.625
0.000 0.000 0.000
0.250 0.250 0.250
```


Model b:
K2Cd: relaxed, GGA-PBE.

Calculated values
- SG = No. 227

Structure (POSCAR):
```
K2Cd
1.0
5.417 3.128 8.846
-5.417 3.128 8.846
0.000 -6.255 8.846
K Cd
4 2
Direct
0.375 0.375 0.375
0.875 0.375 0.375
0.375 0.875 0.375
0.375 0.375 0.875
0.500 0.500 0.500
0.250 0.250 0.250
```


Relative energies, in kJ/mol of atoms, with the most stable structure set to zero: model a 0.0; model b 18.7.


Model a:
KLuCdTe3: relaxed, GGA-PBE.

Calculated values
- SG = No. 62

Structure (POSCAR):
```
KLuCdTe3
1.0
15.924 0.000 0.000
0.000 4.447 0.000
0.000 0.000 11.879
Lu Te Cd K
4 12 4 4
Direct
0.021 0.750 0.850
0.479 0.250 0.350
0.979 0.250 0.150
0.521 0.750 0.650
0.860 0.750 0.234
0.640 0.250 0.734
0.598 0.750 0.422
0.404 0.750 0.872
0.096 0.250 0.372
0.140 0.250 0.766
0.402 0.250 0.578
0.098 0.750 0.078
0.904 0.750 0.628
0.360 0.750 0.266
0.902 0.250 0.922
0.596 0.250 0.128
0.517 0.250 0.901
0.983 0.750 0.401
0.483 0.750 0.099
0.017 0.250 0.599
0.233 0.750 0.551
0.733 0.750 0.949
0.767 0.250 0.449
0.267 0.250 0.051
```


Model b:
KLuCdTe3: relaxed, GGA-PBE.

Calculated values
- SG = No. 62

Structure (POSCAR):
```
KLuCdTe3
1.0
8.811 0.000 0.000
0.000 4.753 0.000
0.000 0.000 18.243
Te K Cd Lu
12 4 4 4
Direct
0.999 0.750 0.575
0.627 0.750 0.449
0.873 0.250 0.949
0.127 0.750 0.051
0.373 0.250 0.551
0.239 0.250 0.795
0.001 0.250 0.425
0.501 0.250 0.075
0.761 0.750 0.205
0.739 0.250 0.705
0.499 0.750 0.925
0.261 0.750 0.295
0.558 0.250 0.307
0.442 0.750 0.693
0.058 0.250 0.193
0.942 0.750 0.807
0.914 0.750 0.343
0.086 0.250 0.657
0.586 0.250 0.843
0.414 0.750 0.157
0.737 0.250 0.540
0.763 0.750 0.040
0.237 0.250 0.960
0.263 0.750 0.460
```


Relative energies, in kJ/mol of atoms, with the most stable structure set to zero: model a 0.0; model b 11.6.


Model a:
KNbCdS3: relaxed, GGA-PBE.

Calculated values
- SG = No. 63

Structure (POSCAR):
```
KNbCdS3
1.0
1.894 -7.373 0.000
1.894 7.373 0.000
0.000 0.000 10.182
Cd S K Nb
2 6 2 2
Direct
0.951 0.049 0.250
0.049 0.951 0.750
0.566 0.434 0.250
0.879 0.121 0.469
0.121 0.879 0.531
0.121 0.879 0.969
0.434 0.566 0.750
0.879 0.121 0.031
0.240 0.760 0.250
0.760 0.240 0.750
0.500 0.500 0.000
0.500 0.500 0.500
```


Model b:
KNbCdS3: relaxed, GGA-PBE.

Calculated values
- SG = No. 11

Structure (POSCAR):
```
KNbCdS3
1.0
-3.967 -5.882 2.838
0.139 -1.663 -3.253
10.558 -2.035 1.492
S Nb Cd K
6 2 2 2
Direct
0.761 0.750 0.149
0.239 0.250 0.851
0.220 0.250 0.464
0.780 0.750 0.536
0.201 0.750 0.134
0.799 0.250 0.866
0.964 0.250 0.096
0.036 0.750 0.904
0.987 0.750 0.374
0.013 0.250 0.626
0.473 0.750 0.698
0.527 0.250 0.302
```


Relative energies, in kJ/mol of atoms, with the most stable structure set to zero: model a 16.2; model b 0.0.


Model a:
K6Cd2O5: relaxed, GGA-PBE.

Calculated values
- SG = No. 2

Structure (POSCAR):
```
K6Cd2O5
1.0
6.124 0.000 0.000
-0.065 7.695 0.000
-1.667 -3.767 12.410
Cd K O
4 12 10
Direct
0.101 0.119 0.352
0.299 0.324 0.141
0.701 0.676 0.859
0.899 0.881 0.648
0.556 0.890 0.366
0.811 0.206 0.879
0.684 0.039 0.121
0.688 0.589 0.128
0.457 0.599 0.621
0.312 0.411 0.872
0.189 0.794 0.121
0.444 0.110 0.634
0.316 0.961 0.879
0.543 0.401 0.379
0.046 0.666 0.378
0.954 0.334 0.622
0.679 0.879 0.774
0.112 0.103 0.730
0.268 0.293 0.493
0.657 0.407 0.754
0.494 0.263 0.012
0.321 0.121 0.226
0.732 0.707 0.507
0.888 0.897 0.270
0.343 0.593 0.246
0.506 0.737 0.988
```


Model b:
K6Cd2O5: relaxed, GGA-PBE.

Calculated values
- SG = No. 8

Structure (POSCAR):
```
K6Cd2O5
1.0
3.440 -5.984 0.000
3.440 5.984 0.000
-0.841 0.000 6.758
O K Cd
5 6 2
Direct
0.849 0.573 0.381
0.886 0.211 0.950
0.365 0.365 0.708
0.211 0.886 0.950
0.573 0.849 0.381
0.158 0.598 0.188
0.022 0.022 0.394
0.675 0.675 0.026
0.073 0.535 0.694
0.535 0.073 0.694
0.598 0.158 0.188
0.581 0.581 0.512
0.118 0.118 0.894
```


Relative energies, in kJ/mol of atoms, with the most stable structure set to zero: model a 2.3; model b 0.0.


Model a:
KRbCd2P2: relaxed, GGA-PBE.

Calculated values
- SG = No. 99

Structure (POSCAR):
```
KRbCd2P2
1.0
-1.771 3.540 -1.469
-3.542 -2.130 -0.861
-2.956 1.760 7.806
P Cd Rb K
2 2 1 1
Direct
0.500 0.500 0.204
0.000 0.000 0.810
0.500 0.000 0.004
0.000 0.500 0.004
0.500 0.500 0.642
0.000 0.000 0.336
```


Model b:
KRbCd2P2: relaxed, GGA-PBE.

Calculated values
- SG = No. 164

Structure (POSCAR):
```
KRbCd2P2
1.0
-0.620 4.211 1.225
-1.254 -1.341 -4.031
-9.236 -2.432 3.682
Rb P Cd K
1 2 2 1
Direct
0.000 0.000 0.500
0.333 0.667 0.757
0.667 0.333 0.243
0.333 0.667 0.240
0.667 0.333 0.760
0.000 0.000 0.000
```


Relative energies, in kJ/mol of atoms, with the most stable structure set to zero: model a 7.1; model b 0.0.